Entry from the Alexandria database: a geometry-optimized Tl2FeSe2O6 structure (PBE with a Hubbard U).

It has space group C2/m (No. 12), with a = 9.246 Å, b = 5.923 Å, c = 7.493 Å, α = 90.00°, β = 108.64° and γ = 90.00°. The inequivalent atoms are Tl at (0.216, 0.000, 0.168), Fe at (0.000, 0.000, 0.500), Se at (0.100, 0.500, 0.273), O at (0.013, 0.271, 0.706) and O at (0.242, 0.000, 0.529).

The value obtained for the volume is 17.7 Å³ per atom. The value obtained for the total energy is -5.20 eV per atom. Its magnetic moment is 4.01 μB per formula unit. For the calculated density, the calculation gives 6.14 Mg/m³.